# Co3WO

A relaxed structure of Co3WO (GGA+U, the Alexandria database).

a = 4.7424 Å, b = 4.7424 Å, c = 4.7424 Å
α = 90.00°, β = 90.00°, γ = 90.00°
Closest atoms and distances in Å follow each position.
Space group Pm-3m (No. 221)
Asymmetric unit:
Co (0.0000, 0.0000, 0.5000) [3 per cell]  2 W 2.37
W (0.0000, 0.0000, 0.0000) [1 per cell]  6 Co 2.37
O (0.5000, 0.5000, 0.5000) [1 per cell]  12 Co 3.35

Computed properties:
Energy above the most stable polymorph in this dataset in eV/f.u.: 8.334
Fermi-level density of states in states/eV per atom: 0.392